Below is crystalline NaLiAc2 at its relaxed geometry, with properties calculated at the GGA-PBE level.

Calculated values
- VASP energy: -10.6 eV/f.u.
- Total magnetization: 0.00 μB per formula unit
- Crystal system: tetragonal
- Calculated formation energy: 0.207 eV per atom

Cell: 5.864 5.864 4.336 Å, 90.00 90.00 90.00°
Positions (direct):
Na 0.000 0.000 0.000
Li 0.500 0.500 0.000
Ac 0.000 0.500 0.500
Ac 0.500 0.000 0.500